Here is crystalline CeCrO3 at its relaxed geometry from the Alexandria database. Energies are from PBE+U.

a b c (Å): 5.7182 7.7756 5.4879
angles (deg): 90.00 90.00 90.00
Space group Pnma (No. 62)
One atom of each set of equivalent atoms:
Ce  0.0590  0.2500  0.0147 x4
Cr  0.0000  0.0000  0.5000 x4
O  0.0330  0.7500  0.3993 x4
O  0.1995  0.5517  0.8030 x8

Calculated values
- Calculated volume: 12.20 Å³/atom
- DFT total energy: -167.0 eV for the cell shown